A:
# Cs2TlHg4

A relaxed structure of Cs2TlHg4 (PBE, the Alexandria database). Values from VASP.

```
&SYSTEM
  ibrav = 0, nat = 7, ntyp = 3
/
ATOMIC_SPECIES
Cs 132.91 Cs.upf
Tl 204.38 Tl.upf
Hg 200.59 Hg.upf
ATOMIC_POSITIONS angstrom
Cs 4.461 1.549 0.041
Cs 0.133 4.721 0.041
Tl 5.011 6.839 -7.664
Hg 0.285 4.170 3.916
Hg 3.890 1.528 3.916
Hg 1.243 1.697 2.329
Hg 3.351 4.574 -2.247
CELL_PARAMETERS angstrom
6.836 0.249 -3.834
-1.823 6.593 -3.834
-0.419 -0.572 7.750
```

Results
The crystal system is orthorhombic.

=====

B:
# Cs2TlHg4

A relaxed structure of Cs2TlHg4 (PBE, the Alexandria database). Values from VASP.

```
&SYSTEM
  ibrav = 0, nat = 7, ntyp = 3
/
ATOMIC_SPECIES
Cs 132.91 Cs.upf
Tl 204.38 Tl.upf
Hg 200.59 Hg.upf
ATOMIC_POSITIONS angstrom
Cs 5.822 5.822 7.231
Cs 2.911 2.911 2.737
Tl 0.000 0.000 0.000
Hg 5.822 5.822 3.380
Hg 2.911 2.911 6.588
Hg 0.000 2.911 0.000
Hg 2.911 0.000 0.000
CELL_PARAMETERS angstrom
5.822 0.000 0.000
0.000 5.822 0.000
2.911 2.911 9.968
```

Results
The crystal system is tetragonal.

=====

Stability verdict: A, ahead by 28 meV/atom

=====

A:
# CsTl4Hg2

A relaxed structure of CsTl4Hg2 (PBE, the Alexandria database). Values from VASP.

```
&SYSTEM
  ibrav = 0, nat = 7, ntyp = 3
/
ATOMIC_SPECIES
Cs 132.91 Cs.upf
Tl 204.38 Tl.upf
Hg 200.59 Hg.upf
ATOMIC_POSITIONS angstrom
Cs 0.000 0.000 0.000
Tl -1.357 3.051 5.914
Tl -0.815 0.115 4.299
Tl -0.136 3.324 2.609
Tl 1.980 1.894 4.845
Hg -2.839 1.633 2.288
Hg 1.346 4.742 6.236
CELL_PARAMETERS angstrom
-2.658 4.366 -0.621
-4.114 -2.146 2.520
5.279 4.155 6.624
```

Results
The crystal system is orthorhombic.

=====

B:
# CsTl4Hg2

A relaxed structure of CsTl4Hg2 (PBE, the Alexandria database). Values from VASP.

```
&SYSTEM
  ibrav = 0, nat = 14, ntyp = 3
/
ATOMIC_SPECIES
Cs 132.91 Cs.upf
Tl 204.38 Tl.upf
Hg 200.59 Hg.upf
ATOMIC_POSITIONS angstrom
Cs -1.918 1.286 -1.232
Cs -0.999 -5.385 -4.064
Tl -1.612 -2.980 -0.601
Tl -0.387 -7.791 -7.527
Tl -4.616 -3.781 -2.322
Tl -1.219 -4.418 -8.272
Tl -5.136 -6.585 -4.437
Tl -0.698 -1.614 -6.156
Tl 0.748 -1.674 -2.911
Tl -2.747 -9.096 -5.218
Hg -3.625 -6.838 -1.494
Hg 1.626 -3.933 -6.635
Hg -3.338 -6.365 -7.007
Hg -2.497 -1.834 -3.587
CELL_PARAMETERS angstrom
-3.835 2.572 -2.465
3.533 -2.878 -8.501
-5.532 -7.893 0.373
```

Results
The crystal system is tetragonal.

=====

Stability verdict: A, ahead by 24 meV/atom

=====

A:
# CsTl3Hg

A relaxed structure of CsTl3Hg (PBE, the Alexandria database). Values from VASP.

```
&SYSTEM
  ibrav = 0, nat = 5, ntyp = 3
/
ATOMIC_SPECIES
Cs 132.91 Cs.upf
Tl 204.38 Tl.upf
Hg 200.59 Hg.upf
ATOMIC_POSITIONS angstrom
Cs 0.000 0.000 0.000
Tl 0.000 3.450 0.000
Tl 0.000 0.000 3.450
Tl 3.450 0.000 0.000
Hg 3.450 3.450 3.450
CELL_PARAMETERS angstrom
6.901 0.000 0.000
0.000 6.901 0.000
0.000 0.000 6.901
```

Results
The crystal system is cubic.

=====

B:
# CsTl3Hg

A relaxed structure of CsTl3Hg (PBE, the Alexandria database). Values from VASP.

```
&SYSTEM
  ibrav = 0, nat = 5, ntyp = 3
/
ATOMIC_SPECIES
Cs 132.91 Cs.upf
Tl 204.38 Tl.upf
Hg 200.59 Hg.upf
ATOMIC_POSITIONS angstrom
Cs 2.102 1.244 7.875
Tl 2.791 4.869 5.887
Tl 0.565 2.362 4.140
Tl 3.635 2.976 3.437
Hg -0.259 4.277 6.534
CELL_PARAMETERS angstrom
5.052 0.000 1.745
-0.601 5.015 1.749
0.203 0.222 7.597
```

Results
The crystal system is tetragonal.

=====

C:
# CsTl3Hg

A relaxed structure of CsTl3Hg (PBE, the Alexandria database). Values from VASP.

```
&SYSTEM
  ibrav = 0, nat = 20, ntyp = 3
/
ATOMIC_SPECIES
Cs 132.91 Cs.upf
Tl 204.38 Tl.upf
Hg 200.59 Hg.upf
ATOMIC_POSITIONS angstrom
Cs 6.250 4.783 2.246
Cs 1.438 1.537 9.915
Cs 2.406 2.731 4.094
Cs 5.282 3.589 8.068
Tl 1.206 -0.146 6.353
Tl 6.482 6.467 5.808
Tl 5.050 5.273 11.630
Tl 2.638 1.048 0.532
Tl 3.333 6.419 5.139
Tl 4.355 -0.098 7.022
Tl 7.177 1.096 1.201
Tl 0.511 5.224 10.961
Tl 1.378 5.105 7.415
Tl 6.311 1.216 4.747
Tl 5.222 0.022 10.568
Tl 2.467 6.299 1.593
Hg 3.060 6.569 9.540
Hg 4.628 -0.249 2.621
Hg 6.904 -1.443 8.443
Hg 0.784 7.764 3.718
CELL_PARAMETERS angstrom
7.688 0.000 0.000
0.000 8.709 0.518
0.000 -2.388 11.643
```

Results
The crystal system is monoclinic.

=====

D:
# CsTl3Hg

A relaxed structure of CsTl3Hg (PBE, the Alexandria database). Values from VASP.

```
&SYSTEM
  ibrav = 0, nat = 5, ntyp = 3
/
ATOMIC_SPECIES
Cs 132.91 Cs.upf
Tl 204.38 Tl.upf
Hg 200.59 Hg.upf
ATOMIC_POSITIONS angstrom
Cs 3.016 3.016 3.016
Tl 0.000 3.016 0.000
Tl 0.000 0.000 3.016
Tl 3.016 0.000 0.000
Hg 0.000 0.000 0.000
CELL_PARAMETERS angstrom
6.033 0.000 0.000
0.000 6.033 0.000
0.000 0.000 6.033
```

Results
The crystal system is cubic.

=====

Stability verdict: B, ahead by 30 meV/atom